DFT (GGA-PBE) results for a relaxed SmTeW crystal.

SG   No. 216
Distance to the lowest polymorph of the same formula   0.0 meV/atom

Cell and atoms, written as extended XYZ:
```
3
Lattice="0.0000 3.3883 3.3883 3.3883 0.0000 3.3883 3.3883 3.3883 0.0000" Properties=species:S:1:pos:R:3 pbc="T T T"
W 5.0824 5.0824 5.0824
Sm 1.6941 1.6941 1.6941
Te 0.0000 0.0000 0.0000
```



DFT (GGA-PBE) results for a relaxed Sm2YTe3 crystal.

SG   No. 164
Energy   -5.581 eV/atom

Cell and atoms, written as extended XYZ:
```
6
Lattice="-0.4416 -0.7839 -4.3177 -2.7661 -1.8780 2.8765 -6.6732 8.5084 -0.8623" Properties=species:S:1:pos:R:3 pbc="T T T"
Y 0.0000 0.0000 0.0000
Te -6.8186 5.9942 -2.6436
Te -3.0623 -0.1477 0.3400
Te -3.3366 4.2542 -0.4311
Sm -6.4527 4.1751 -0.0981
Sm -3.4282 1.6714 -2.2055
```



DFT (GGA-PBE) results for a relaxed SmY2Te3 crystal.

SG   No. 164
Energy   -5.847 eV/atom

Cell and atoms, written as extended XYZ:
```
6
Lattice="-3.2116 0.3719 -2.9593 1.4065 -3.9676 1.2206 -7.3139 -0.1570 7.9177" Properties=species:S:1:pos:R:3 pbc="T T T"
Te 0.0000 0.0000 0.0000
Te -4.0647 -1.1259 1.0240
Te -5.0543 -2.6267 5.1550
Sm -3.6570 -0.0785 3.9589
Y -1.3389 -2.5470 1.1329
Y -7.7801 -1.2057 5.0461
```



DFT (GGA-PBE) results for a relaxed SmTh crystal.

E_form   0.059 eV per atom
SG   No. 187
Distance to the lowest polymorph of the same formula   0.0 meV/atom

Cell and atoms, written as extended XYZ:
```
2
Lattice="3.5689 0.0000 0.0000 -1.7845 3.0908 0.0000 0.0000 0.0000 5.9644" Properties=species:S:1:pos:R:3 pbc="T T T"
Th 0.0000 2.0605 1.4911
Sm 1.7845 1.0303 4.4733
```



How do the records compare in M_tot? In the order shown, they have 1.24, 0.00, 0.01, 0.01 Bohr magnetons per cell.
How do the records compare in calculated volume? In the order shown, they have 25.9, 30.5, 29.9, 32.9 Å³ per atom.